(1)
Compound: U2CuS6
Source: the Alexandria database
Functional: PBE
Structure: optimized geometry

* DFT total energy: -6.621 eV per atom
* ΔE_f (raw): -8.15 eV per formula unit

a b c (Å): 6.1993 6.1993 11.0786
angles (deg): 90.00 90.00 90.00
Sites, in units of the cell vectors:
U 0.5000 0.5000 0.8220
U 0.0000 0.0000 0.6780
U 0.0000 0.0000 0.3220
U 0.5000 0.5000 0.1780
S 0.7996 0.2004 0.8464
S 0.3120 0.3120 0.0000
S 0.7004 0.7004 0.6536
S 0.2004 0.7996 0.1536
S 0.6880 0.6880 0.0000
S 0.2004 0.7996 0.8464
S 0.8120 0.1880 0.5000
S 0.2996 0.2996 0.3464
S 0.2996 0.2996 0.6536
S 0.1880 0.8120 0.5000
S 0.7996 0.2004 0.1536
S 0.7004 0.7004 0.3464
Cu 0.5000 0.5000 0.5000
Cu 0.0000 0.0000 0.0000



(2)
Compound: UCuS2
Source: the Alexandria database
Functional: PBE
Structure: optimized geometry

* DFT total energy: -6.756 eV per atom
* ΔE_f (raw): -3.39 eV per formula unit

a b c (Å): 4.0572 5.3972 9.4769
angles (deg): 90.00 102.36 90.00
Sites, in units of the cell vectors:
Cu 0.0000 0.6404 0.0000
Cu 0.0000 0.1404 0.0000
S 0.0903 0.8905 0.1806
S 0.2938 0.8898 0.5876
S 0.9097 0.3905 0.8194
S 0.7062 0.3898 0.4124
U 0.6936 0.8898 0.3872
U 0.3064 0.3898 0.6128



(3)
Compound: U2Cu2S7
Source: the Alexandria database
Functional: PBE
Structure: optimized geometry

* DFT total energy: -6.103 eV per atom
* ΔE_f (raw): -7.47 eV per formula unit

a b c (Å): 3.9527 9.0384 9.0384
angles (deg): 56.54 77.37 77.37
Sites, in units of the cell vectors:
Cu 0.3567 0.1245 0.1621
Cu 0.6433 0.8379 0.8755
S 0.1036 0.2170 0.5758
S 0.1716 0.7215 0.9352
S 0.8284 0.0648 0.2785
S 0.5000 0.0294 0.9706
S 0.4087 0.7249 0.4577
S 0.8964 0.4242 0.7830
S 0.5913 0.5423 0.2751
U 0.5000 0.3693 0.6307
U 0.0000 0.7981 0.2019



(4)
Compound: UCuS2
Source: the Alexandria database
Functional: PBE
Structure: optimized geometry

* DFT total energy: -6.713 eV per atom
* ΔE_f (raw): -3.21 eV per formula unit

a b c (Å): 4.0243 4.0243 7.6017
angles (deg): 74.65 74.65 60.00
Sites, in units of the cell vectors:
Cu 0.0000 0.0000 0.0000
U 0.5000 0.5000 0.5000
S 0.0983 0.0983 0.7051
S 0.9017 0.9017 0.2949



(5)
Compound: U3Cu2S7
Source: the Alexandria database
Functional: PBE
Structure: optimized geometry

* DFT total energy: -7.037 eV per atom
* ΔE_f (raw): -13.50 eV per formula unit

a b c (Å): 9.6628 9.6628 5.6968
angles (deg): 90.00 90.00 120.00
Sites, in units of the cell vectors:
S 0.7379 0.8469 0.5138
S 0.8910 0.7379 0.0138
S 0.5659 0.4866 0.2823
S 0.6667 0.3333 0.7527
S 0.4341 0.5134 0.7823
S 0.1531 0.8910 0.5138
S 0.2621 0.1531 0.0138
S 0.0794 0.5659 0.7823
S 0.9206 0.4341 0.2823
S 0.1090 0.2621 0.5138
S 0.4866 0.9206 0.7823
S 0.3333 0.6667 0.2527
S 0.5134 0.0794 0.2823
S 0.8469 0.1090 0.0138
U 0.8481 0.6201 0.5309
U 0.6201 0.7720 0.0309
U 0.3799 0.2280 0.5309
U 0.1519 0.3799 0.0309
U 0.2280 0.8481 0.0309
U 0.7720 0.1519 0.5309
Cu 0.0000 0.0000 0.9986
Cu 0.6667 0.3333 0.1509
Cu 0.0000 0.0000 0.4986
Cu 0.3333 0.6667 0.6509



(6)
Compound: UCu2S3
Source: the Alexandria database
Functional: PBE
Structure: optimized geometry

* DFT total energy: -6.050 eV per atom
* ΔE_f (raw): -4.44 eV per formula unit

a b c (Å): 3.8647 6.7761 9.4134
angles (deg): 100.81 90.00 90.00
Sites, in units of the cell vectors:
S 0.7500 0.5262 0.3251
S 0.2500 0.4738 0.6749
S 0.2500 0.0496 0.3421
S 0.2500 0.2360 0.9815
S 0.7500 0.7640 0.0185
S 0.7500 0.9504 0.6579
U 0.7500 0.1591 0.1771
U 0.2500 0.8409 0.8229
Cu 0.7500 0.2152 0.8476
Cu 0.2500 0.7848 0.1524
Cu 0.2500 0.3999 0.4201
Cu 0.7500 0.6001 0.5799



(7)
Compound: Y2UCuS6
Source: the Alexandria database
Functional: PBE
Structure: optimized geometry

* DFT total energy: -6.445 eV per atom
* ΔE_f (raw): -11.38 eV per formula unit

a b c (Å): 5.8464 6.5043 6.5043
angles (deg): 90.00 90.00 90.00
Sites, in units of the cell vectors:
S 0.7337 0.2356 0.2356
S 0.1786 0.0000 0.0000
S 0.7337 0.7644 0.2356
S 0.1656 0.5000 0.5000
S 0.7337 0.7644 0.7644
S 0.7337 0.2356 0.7644
Y 0.9931 0.5000 0.0000
Y 0.9931 0.0000 0.5000
Cu 0.5539 0.0000 0.0000
U 0.6276 0.5000 0.5000



(8)
Compound: ZrUCuS6
Source: the Alexandria database
Functional: PBE
Structure: optimized geometry

* DFT total energy: -6.233 eV per atom
* ΔE_f (raw): -7.40 eV per formula unit

a b c (Å): 5.9563 6.1945 6.1945
angles (deg): 120.00 90.00 90.00
Sites, in units of the cell vectors:
S 0.2587 0.0065 0.6767
S 0.7413 0.3233 0.9935
S 0.7413 0.6702 0.6767
S 0.7413 0.0065 0.3298
S 0.2587 0.3233 0.3298
S 0.2587 0.6702 0.9935
Cu 0.5000 0.0000 0.0000
Zr 0.5000 0.6667 0.3333
U 0.0000 0.3333 0.6667



(9)
Compound: VCuS2
Source: the Alexandria database
Functional: PBE
Structure: optimized geometry

* DFT total energy: -5.952 eV per atom
* ΔE_f (raw): -2.34 eV per formula unit

a b c (Å): 7.4911 7.4911 7.4911
angles (deg): 24.80 24.80 24.80
Sites, in units of the cell vectors:
Cu 0.0000 0.0000 0.0000
V 0.5000 0.5000 0.5000
S 0.0998 0.0998 0.0998
S 0.9002 0.9002 0.9002



(10)
Compound: V2Cu2S
Source: the Alexandria database
Functional: PBE
Structure: optimized geometry

* DFT total energy: -5.634 eV per atom
* relative energy among the computed polymorphs: 0.1268 eV/atom
* ΔE_f (raw): 2.39 eV per formula unit

a b c (Å): 3.3259 3.3259 6.9695
angles (deg): 76.20 76.20 90.00
Sites, in units of the cell vectors:
V 0.2500 0.7500 0.5000
V 0.7500 0.2500 0.5000
Cu 0.4062 0.4062 0.1876
Cu 0.5938 0.5938 0.8124
S 0.0000 0.0000 0.0000



(11)
Compound: VCu2S5
Source: the Alexandria database
Functional: PBE
Structure: optimized geometry

* DFT total energy: -5.127 eV per atom
* ΔE_f (raw): -3.07 eV per formula unit

a b c (Å): 5.6331 5.6236 7.8419
angles (deg): 130.31 95.05 89.02
Sites, in units of the cell vectors:
Cu 0.0736 0.5854 0.1266
Cu 0.5411 0.0518 0.1271
S 0.2926 0.4530 0.3087
S 0.9114 0.8104 0.7204
S 0.8574 0.0185 0.3091
S 0.2929 0.6201 0.9151
S 0.7510 0.2119 0.9645
V 0.0570 0.0259 0.0825



(12)
Compound: VCu2S4
Source: the Alexandria database
Functional: PBE
Structure: optimized geometry

* DFT total energy: -5.271 eV per atom
* relative energy among the computed polymorphs: 0.0668 eV/atom
* ΔE_f (raw): -3.08 eV per formula unit

a b c (Å): 6.5239 7.1361 7.1361
angles (deg): 58.53 62.80 62.80
Sites, in units of the cell vectors:
S 0.7664 0.7204 0.7469
S 0.2977 0.7266 0.2266
S 0.7490 0.7266 0.2266
S 0.7023 0.2734 0.7734
S 0.2510 0.2734 0.7734
S 0.2336 0.2796 0.2531
S 0.2336 0.7531 0.7796
S 0.7664 0.2469 0.2204
Cu 0.5000 0.5000 0.5000
Cu 0.1073 0.1427 0.6427
Cu 0.5000 0.0000 0.0000
Cu 0.8927 0.8573 0.3573
V 0.5000 0.5000 0.0000
V 0.0000 0.5000 0.0000



no.,ρ (Mg/m³)
1,5.7
2,6.0
3,5.3
4,6.0
5,7.7
6,6.3
7,4.5
8,4.9
9,4.6
10,6.0
11,3.0
12,4.2